Sr4GeSeI2: optimized geometry, PBE.

Output
Uncorrected formation energy: -10.97 eV per formula unit
Magnetization: 0.0 μB per formula unit
Raw total energy: -28.9 eV per cell
DOS at the Fermi energy: 0.07 states/eV/atom

Cell: 8.040 4.673 8.403 Å, 90.00 108.75 90.00°
Space group P2/m (No. 10)
One atom of each set of equivalent atoms:
Sr 0.222 0.000 0.201 [2 per cell]
Sr 0.254 0.500 0.801 [2 per cell]
Ge 0.000 0.500 0.000 [1 per cell]
Se 0.500 0.000 0.000 [1 per cell]
I 0.000 0.000 0.500 [1 per cell]
I 0.500 0.500 0.500 [1 per cell]



TaGeSe2I: optimized geometry, PBE.

Output
Uncorrected formation energy: 1.15 eV per formula unit
Magnetization: 1.3 μB per formula unit
Raw total energy: -23.8 eV per cell
DOS at the Fermi energy: 0.93 states/eV/atom

Cell: 4.987 4.987 5.696 Å, 90.00 90.00 90.00°
Space group P4/mmm (No. 123)
One atom of each set of equivalent atoms:
Ta 0.000 0.000 0.000 [1 per cell]
Ge 0.500 0.500 0.500 [1 per cell]
Se 0.000 0.500 0.000 [2 per cell]
I 0.000 0.000 0.500 [1 per cell]



GeTe2SeI: optimized geometry, PBE.

Output
Uncorrected formation energy: 2.88 eV per formula unit
Energy relative to the lowest polymorph listed for this composition: 0 meV/atom
Magnetization: 0.0 μB per formula unit
Raw total energy: -13.1 eV per cell
DOS at the Fermi energy: 0.68 states/eV/atom

Cell: 5.485 5.485 5.668 Å, 90.00 90.00 90.00°
Space group P4/mmm (No. 123)
One atom of each set of equivalent atoms:
Ge 0.000 0.000 0.000 [1 per cell]
Te 0.000 0.500 0.500 [2 per cell]
Se 0.500 0.500 0.500 [1 per cell]
I 0.500 0.500 0.000 [1 per cell]